Compound: BaSm2Co2O6
Source: OQMD via LeMat-Bulk
Functional: PBE+U
Structure: relaxed

Cell and atoms, written as extended XYZ:
```
44
Lattice="-1.384 -4.626 2.650 -2.274 -1.985 -4.652 17.419 -8.108 -5.054" Properties=species:S:1:pos:R:3 pbc="T T T"
Ba 6.657 -6.784 -5.223
Ba 7.104 -7.935 -1.834
Ba -2.810 -5.099 -1.504
Ba -0.848 -1.512 -0.499
O 14.775 -9.513 -3.163
O 11.651 -6.960 -3.922
O 6.098 -5.474 -0.645
O -2.030 -2.759 -2.569
O 15.282 -7.114 -4.434
O 0.782 -1.886 -2.883
O 9.334 -11.122 -5.231
O 9.936 -7.261 -1.759
O 11.825 -9.227 -6.345
O 1.260 -3.222 0.759
O 4.427 -3.597 -1.826
O 4.744 -6.365 -2.908
O 5.836 -9.258 -4.081
O -1.629 -3.852 0.567
O 1.630 -4.481 -3.387
O 9.524 -5.955 -5.420
O 12.131 -10.238 -3.670
O 5.621 -4.138 -4.287
O 14.363 -8.207 -6.824
O 7.924 -5.461 -2.976
O 9.017 -8.354 -4.148
O 1.936 -5.492 -0.711
O 2.137 -0.995 -0.620
O 2.110 -7.759 -3.134
Co 6.062 -4.891 -2.548
Co 0.136 -4.750 0.326
Co 13.625 -9.969 -7.383
Co 4.236 -8.217 -3.504
Co 14.092 -11.247 -3.724
Co 9.524 -6.502 -3.553
Co -0.331 -3.472 -3.333
Co 7.699 -9.828 -4.509
Sm 2.273 -3.178 -1.464
Sm 10.329 -9.511 -2.587
Sm 3.432 -5.208 -4.470
Sm 13.270 -8.297 -4.655
Sm 11.488 -11.541 -5.593
Sm 0.491 -6.422 -2.402
Sm 3.907 -6.522 -0.724
Sm 9.854 -8.197 -6.333
```

As for the energy: -305.77 eV per cell.